[1]
Computed, not measured: Te2RuSe after structural relaxation at the PBE-GGA level of DFT.

Output
- Symmetry: No. 123
- Uncorrected formation energy: 20.26 kJ/mol of atoms

```
Te2RuSe
1.0
3.143 0.001 0.000
-0.001 3.143 0.000
0.000 0.000 9.323
Te Se Ru
2 1 1
Cartesian
0.000 0.000 0.585
0.000 0.000 4.077
1.571 1.572 6.992
1.571 1.572 2.331
```

[2]
Computed, not measured: YTl2Ni after structural relaxation at the PBE-GGA level of DFT.

Output
- Symmetry: No. 160
- Energy of formation: -0.009 eV per atom

```
YTl2Ni
1.0
-7.828 2.461 -1.703
-7.895 -1.325 -2.481
-8.299 -0.093 1.161
Tl Y Ni
2 1 1
Cartesian
-0.483 0.021 -0.061
-6.083 0.264 -0.765
-11.476 0.498 -1.444
-17.991 0.781 -2.263
```

[3]
Computed, not measured: Hf2SbI after structural relaxation at the PBE-GGA level of DFT.

Output
- Distance to the lowest polymorph of the same formula: 0 meV/atom
- Symmetry: No. 225
- Uncorrected formation energy: -16.95 kJ/mol of atoms

```
Hf2SbI
1.0
-4.374 -2.416 0.536
-3.572 1.901 2.981
-4.191 1.916 -2.006
I Hf Sb
1 2 1
Cartesian
-6.068 0.701 0.756
-9.103 1.051 1.133
-3.034 0.350 0.378
0.000 0.000 0.000
```

[4]
Computed, not measured: BaIn2Ru after structural relaxation at the PBE-GGA level of DFT.

Output
- Symmetry: No. 123
- Energy of formation: 0.415 eV per atom

```
BaIn2Ru
1.0
5.276 0.000 0.000
0.000 4.467 0.000
0.000 0.000 4.467
Ru In Ba
1 2 1
Cartesian
2.638 2.234 0.000
0.000 0.000 0.000
0.000 2.234 2.234
2.638 0.000 2.234
```

[5]
Computed, not measured: Hf2HgBi after structural relaxation at the PBE-GGA level of DFT.

Output
- Distance to the lowest polymorph of the same formula: 12 meV/atom
- Symmetry: No. 123
- Energy of formation: 0.032 eV per atom

```
Hf2HgBi
1.0
3.756 0.000 0.000
0.000 3.756 0.000
0.000 0.000 6.459
Bi Hg Hf
1 1 2
Cartesian
1.878 1.878 3.230
1.878 1.878 0.000
0.000 0.000 1.607
0.000 0.000 4.852
```

[6]
Computed, not measured: AcEuAlIn after structural relaxation at the PBE-GGA level of DFT.

Output
- Symmetry: No. 216
- Energy of formation: -0.310 eV per atom

```
AcEuAlIn
1.0
5.609 0.000 0.000
2.805 4.858 0.000
2.805 1.619 4.580
Ac Eu Al In
1 1 1 1
Cartesian
5.609 3.239 2.290
0.000 0.000 0.000
8.414 4.858 3.435
2.805 1.619 1.145
```

[7]
Computed, not measured: YErSc2 after structural relaxation at the PBE-GGA level of DFT.

Output
- Distance to the lowest polymorph of the same formula: 3 meV/atom
- Symmetry: No. 123
- Energy of formation: 0.055 eV per atom

```
YErSc2
1.0
3.444 0.000 0.000
0.000 3.444 0.000
0.000 0.000 9.387
Sc Y Er
2 1 1
Cartesian
0.000 0.000 7.068
0.000 0.000 2.319
1.722 1.722 4.694
1.722 1.722 0.000
```

[8]
Computed, not measured: ZnBi3H after structural relaxation at the PBE-GGA level of DFT.

Output
- Distance to the lowest polymorph of the same formula: 0 meV/atom
- Symmetry: No. 221

```
ZnBi3H
1.0
-4.332 -2.314 -0.284
1.283 -2.866 3.787
-1.946 3.261 3.127
Bi H Zn
3 1 1
Cartesian
0.641 -1.433 1.894
-0.973 1.631 1.563
-2.166 -1.157 -0.142
0.000 0.000 0.000
-2.498 -0.959 3.315
```

[9]
Computed, not measured: Pr3MgCd2 after structural relaxation at the PBE-GGA level of DFT.

Output
- Distance to the lowest polymorph of the same formula: 0 meV/atom
- Symmetry: No. 65
- Energy of formation: -0.254 eV per atom

```
Pr3MgCd2
1.0
-3.061 1.030 2.187
0.020 -4.944 2.357
5.114 5.281 4.669
Mg Pr Cd
1 3 2
Cartesian
0.000 0.000 0.000
-1.520 -1.957 2.272
0.195 1.461 3.063
1.879 -0.094 6.151
3.471 1.903 3.961
1.663 -1.566 3.065
```

[10]
Computed, not measured: Ba2GaN after structural relaxation at the PBE-GGA level of DFT.

Output
- Distance to the lowest polymorph of the same formula: 318 meV/atom
- Symmetry: No. 166
- Uncorrected formation energy: -12.20 kJ/mol of atoms

```
Ba2GaN
1.0
3.936 0.000 0.000
1.968 3.409 0.000
1.968 1.136 9.979
Ba Ga N
2 1 1
Cartesian
1.968 1.136 6.517
5.905 3.409 3.462
0.000 0.000 0.000
3.936 2.273 4.990
```

[11]
Computed, not measured: As2RuCl after structural relaxation at the PBE-GGA level of DFT.

Output
- Distance to the lowest polymorph of the same formula: 578 meV/atom
- Symmetry: No. 139
- Uncorrected formation energy: 39.13 kJ/mol of atoms

```
As2RuCl
1.0
0.145 -1.561 4.249
4.045 -0.438 -2.001
3.146 2.412 2.203
Cl Ru As
1 1 2
Cartesian
3.595 0.987 0.101
2.095 -1.000 1.124
1.645 0.425 3.226
0.000 0.000 0.000
```

[12]
Computed, not measured: NiAgTe2N after structural relaxation at the PBE-GGA level of DFT.

Output
- Distance to the lowest polymorph of the same formula: 0 meV/atom
- Symmetry: No. 123
- Uncorrected formation energy: 40.82 kJ/mol of atoms

```
NiAgTe2N
1.0
5.489 0.000 0.000
0.000 5.489 0.000
0.000 0.000 3.385
Te N Ni Ag
2 1 1 1
Cartesian
0.000 2.744 0.000
2.744 0.000 0.000
0.000 0.000 1.693
0.000 0.000 0.000
2.744 2.744 1.693
```